No. 1
{"formula": "GdDyCdPb", "functional": "GGA-PBE", "state": "optimized geometry", "lattice": [[5.3746, 0.0000, 0.0000], [2.6873, 4.6545, 0.0000], [2.6873, 1.5515, 4.3883]], "species": ["Pb", "Gd", "Dy", "Cd"], "frac_coords": [[0.2500, 0.2500, 0.2500], [0.0000, 0.0000, 0.0000], [0.5000, 0.5000, 0.5000], [0.7500, 0.7500, 0.7500]], "formation_enthalpy_0k_ev_per_atom": -0.40, "total_magnetization_mub_per_atom": 1.89, "e_tot_ev_per_atom": -6.226}

=====

No. 2
{"formula": "PbS2Br", "functional": "GGA-PBE", "state": "optimized geometry", "lattice": [[4.2586, 1.8077, -0.7032], [1.7469, 7.8426, -0.6907], [-4.3157, -5.1636, 9.1236]], "species": ["Pb", "Pb", "S", "S", "S", "S", "Br", "Br"], "frac_coords": [[0.7261, 0.9711, 0.7035], [0.2735, 0.2017, 0.2963], [0.8087, 0.9198, 0.1131], [0.1917, 0.2527, 0.8870], [0.6094, 0.8194, 0.8746], [0.3904, 0.3537, 0.1255], [0.0575, 0.3542, 0.5506], [0.9426, 0.8185, 0.4494]], "total_magnetization_mub_per_atom": 0.00, "e_tot_ev_per_atom": -3.777, "polymorph_energy_mev_per_atom": 0.0}

=====

No. 3
{"formula": "Rb8Au3Cl4", "functional": "GGA-PBE", "state": "optimized geometry", "lattice": [[9.6701, -0.1281, -0.1840], [-4.7090, 8.5343, 0.1929], [-4.7090, -2.7817, 8.0705]], "species": ["Au", "Au", "Au", "Rb", "Rb", "Rb", "Rb", "Rb", "Rb", "Rb", "Rb", "Cl", "Cl", "Cl", "Cl"], "frac_coords": [[0.5000, 0.5000, 0.0000], [0.5000, 0.5000, 0.5000], [0.5000, 0.0000, 0.5000], [0.5000, 0.7538, 0.2462], [0.5166, 0.7647, 0.7647], [0.0097, 0.7602, 0.7602], [0.5000, 0.2462, 0.7538], [0.4834, 0.2353, 0.2353], [0.9903, 0.2398, 0.2398], [0.0000, 0.2437, 0.7563], [0.0000, 0.7563, 0.2437], [0.0000, 0.5000, 0.0000], [0.5000, 0.0000, 0.0000], [0.0000, 0.0000, 0.5000], [0.0000, 0.0000, 0.0000]], "total_magnetization_mub_per_atom": 0.05, "e_tot_ev_per_atom": -2.779}

=====

No. 4
{"formula": "Zr3CuPb", "functional": "GGA-PBE", "state": "optimized geometry", "lattice": [[4.9441, 0.0000, 0.0000], [0.0000, 4.9441, 0.0000], [0.0000, 0.0000, 4.9441]], "species": ["Zr", "Zr", "Zr", "Cu", "Pb"], "frac_coords": [[0.5000, 0.0000, 0.0000], [0.0000, 0.0000, 0.5000], [0.0000, 0.5000, 0.0000], [0.0000, 0.0000, 0.0000], [0.5000, 0.5000, 0.5000]], "formation_enthalpy_0k_ev_per_atom": 0.24, "total_magnetization_mub_per_atom": 0.00, "e_tot_ev_per_atom": -6.454, "polymorph_energy_mev_per_atom": 0.0}

=====

No. 5
{"formula": "RbMg6Cu", "functional": "GGA-PBE", "state": "optimized geometry", "lattice": [[6.6445, 3.4779, -3.6071], [-8.2439, 0.6510, -0.9330], [-0.0837, 3.3541, 3.0798]], "species": ["Mg", "Mg", "Mg", "Mg", "Mg", "Mg", "Cu", "Rb"], "frac_coords": [[0.2107, 0.3014, 0.0000], [0.3216, 0.1657, 0.5000], [0.8343, 0.6784, 0.5000], [0.6818, 0.3182, 0.0000], [0.6986, 0.7893, 0.0000], [0.8734, 0.1266, 0.5000], [0.0972, 0.9028, 0.0000], [0.2825, 0.7175, 0.5000]], "formation_enthalpy_0k_ev_per_atom": 0.21, "total_magnetization_mub_per_atom": 0.00, "e_tot_ev_per_atom": -1.615, "polymorph_energy_mev_per_atom": 3.8}